Record 1
ScAgRu2 | PBE | relaxed

Geometry as POSCAR:
```
ScAgRu2
1.0
2.600 -3.068 -2.035
3.093 -2.264 2.372
-0.588 -4.384 0.866
Ru Sc Ag
2 1 1
direct
0.250 0.250 0.250
0.750 0.750 0.750
0.000 0.000 0.000
0.500 0.500 0.500
```

Values from the calculation:
- energy above the lowest structure with this stoichiometry (eV per formula unit) = 0.66
- DFT formation energy (kJ/mol of formula units) = 74
- theoretical density (Mg/m³) = 9.1
- SG = Fm-3m (225)

Record 2
LaThCoNi | PBE | relaxed

Geometry as POSCAR:
```
LaThCoNi
1.0
4.941 0.000 0.000
2.471 4.279 0.000
2.471 1.426 4.034
Ni Th La Co
1 1 1 1
direct
0.250 0.250 0.250
0.500 0.500 0.500
0.000 0.000 0.000
0.750 0.750 0.750
```

Values from the calculation:
- DFT formation energy (kJ/mol of formula units) = -48
- theoretical density (Mg/m³) = 9.5
- SG = F-43m (216)

Record 3
PmGa4Co3 | PBE | relaxed

Geometry as POSCAR:
```
PmGa4Co3
1.0
4.615 -0.990 0.000
-0.990 4.615 0.000
0.000 0.000 6.706
Ga Co Pm
4 3 1
direct
0.500 0.000 0.803
0.500 0.000 0.197
0.000 0.500 0.197
0.000 0.500 0.803
0.500 0.500 0.169
0.000 0.000 0.000
0.500 0.500 0.831
0.000 0.000 0.500
```

Values from the calculation:
- DFT formation energy (kJ/mol of formula units) = -95
- theoretical density (Mg/m³) = 7.3
- SG = Cmmm (65)

Record 4
La2Sn3GePt4 | PBE | relaxed

Geometry as POSCAR:
```
La2Sn3GePt4
1.0
4.633 0.000 0.000
0.000 4.633 0.000
0.000 0.000 10.451
Pt La Sn Ge
4 2 3 1
direct
0.000 0.000 0.000
0.000 0.500 0.381
0.500 0.000 0.619
0.500 0.500 0.000
0.500 0.000 0.251
0.000 0.500 0.749
0.500 0.000 0.870
0.000 0.000 0.500
0.000 0.500 0.130
0.500 0.500 0.500
```

Values from the calculation:
- DFT formation energy (kJ/mol of formula units) = -865
- theoretical density (Mg/m³) = 11.0
- SG = P-4m2 (115)

Which of these has the lowest DFT formation energy? La2Sn3GePt4

DFT formation energy of number 3 (PmGa4Co3)? -95 kJ/mol of formula units

Which of these has the highest DFT formation energy? ScAgRu2

Which formula does entry 4 have? La2Sn3GePt4